[1]
! PSe2Cl | the Alexandria database | GGA-PBE | optimized geometry; values from VASP
&SYSTEM
  ibrav = 0, nat = 4, ntyp = 3
/
ATOMIC_SPECIES
Se 78.96 Se.upf
P 30.97 P.upf
Cl 35.45 Cl.upf
CELL_PARAMETERS angstrom
-1.3165 3.1502 0.8654
-0.6430 -1.2770 3.6703
5.8941 1.9875 1.7320
ATOMIC_POSITIONS crystal
Se 0.0000 0.0000 0.0000
Se 0.5000 0.5000 0.0000
P 0.0000 0.0000 0.5000
Cl 0.5000 0.5000 0.5000
! Spin magnetization (μB/atom): 0.00
! ΔE_f (raw) (meV/atom): 489
! ρ (g/cm³): 4.2

[2]
! P7SeCl | the Alexandria database | GGA-PBE | optimized geometry; values from VASP
&SYSTEM
  ibrav = 0, nat = 18, ntyp = 3
/
ATOMIC_SPECIES
P 30.97 P.upf
Se 78.96 Se.upf
Cl 35.45 Cl.upf
CELL_PARAMETERS angstrom
8.5615 -0.6681 0.0405
0.5245 9.3891 0.0624
-3.3302 -0.1286 8.4960
ATOMIC_POSITIONS crystal
P 0.8058 0.0072 0.2445
P 0.4107 0.6734 0.9807
Se 0.1749 0.1695 0.0483
P 0.4181 0.0745 0.0560
Cl 0.4083 0.0420 0.8316
P 0.1032 0.3017 0.8190
P 0.6696 0.8799 0.3535
P 0.8424 0.3301 0.5329
P 0.2573 0.5673 0.1988
Se 0.5295 0.0390 0.4647
P 0.8294 0.2767 0.7652
P 0.1976 0.8003 0.1841
P 0.5788 0.2543 0.3795
P 0.1442 0.6589 0.9659
P 0.6553 0.1937 0.1763
Cl 0.0504 0.5035 0.2667
P 0.9497 0.1318 0.6473
P 0.4351 0.8380 0.1500
! Spin magnetization (μB/atom): 0.00
! ΔE_f (raw) (meV/atom): 36
! ρ (g/cm³): 1.6

Number 2 is which compound?
P7SeCl